No. 1
# PBE La4RuN, optimized geometry
data_La4RuN
_chemical_formula_sum 'La8 Ru2 N2'
_cell_length_a 13.3087
_cell_length_b 3.9878
_cell_length_c 6.8887
_cell_angle_alpha 90.00
_cell_angle_beta 101.74
_cell_angle_gamma 90.00
_space_group_name_H-M_alt 'C 1 2/m 1'
_space_group_IT_number 12
_space_group_name_Hall '-C 2y'
loop_
_atom_site_label
_atom_site_type_symbol
_atom_site_fract_x
_atom_site_fract_y
_atom_site_fract_z
La1 La 0.1071 0.0000 0.3796
La2 La 0.1138 0.5000 0.8323
Ru1 Ru 0.0000 0.0000 0.0000
N1 N 0.0000 0.5000 0.5000
# D(E_F) in states/eV per atom: 0.963
# E_form (uncorrected) in eV/atom: -0.539

---

No. 2
# PBE LaRu3N, optimized geometry
data_LaRu3N
_chemical_formula_sum 'La1 Ru3 N1'
_cell_length_a 4.8599
_cell_length_b 4.8599
_cell_length_c 4.8599
_cell_angle_alpha 90.00
_cell_angle_beta 90.00
_cell_angle_gamma 90.00
_space_group_name_H-M_alt 'P m -3 m'
_space_group_IT_number 221
_space_group_name_Hall '-P 4 2 3'
loop_
_atom_site_label
_atom_site_type_symbol
_atom_site_fract_x
_atom_site_fract_y
_atom_site_fract_z
La1 La 0.0000 0.0000 0.0000
Ru1 Ru 0.0000 0.0000 0.5000
N1 N 0.5000 0.5000 0.5000
# D(E_F) in states/eV per atom: 0.951
# E_form (uncorrected) in eV/atom: 2.921
# Distance to the lowest polymorph of the same formula in eV/atom: 2.909

---

No. 3
# PBE LaRuN, optimized geometry
data_LaRuN
_chemical_formula_sum 'La4 Ru4 N4'
_cell_length_a 5.1787
_cell_length_b 9.1043
_cell_length_c 4.7829
_cell_angle_alpha 90.00
_cell_angle_beta 90.00
_cell_angle_gamma 90.00
_space_group_name_H-M_alt 'C m c m'
_space_group_IT_number 63
_space_group_name_Hall '-C 2c 2'
loop_
_atom_site_label
_atom_site_type_symbol
_atom_site_fract_x
_atom_site_fract_y
_atom_site_fract_z
La1 La 0.0000 0.1835 0.2500
Ru1 Ru 0.0000 0.5000 0.0000
N1 N 0.0000 0.3112 0.7500
# D(E_F) in states/eV per atom: 1.398
# E_form (uncorrected) in eV/atom: -0.521